Entry from Alexandria: a geometry-optimized NdCoIrO6 structure (PBE+U).

D(E_F): 0.571 states/eV/atom
electronic total energy: -6.68 eV/atom
magnetization: 1.23 μB per formula unit
ρ: 7.3 g/cm3

```
data_NdCoIrO6
_chemical_formula_sum 'Nd2 Co2 Ir2 O12'
_symmetry_space_group_name_H-M 'P 1'
_symmetry_Int_Tables_number 1
_symmetry_space_group_name_Hall 'P 1'
_cell_length_a 5.5594
_cell_length_b 5.5594
_cell_length_c 8.3546
_cell_angle_alpha 90.00
_cell_angle_beta 90.00
_cell_angle_gamma 120.00
loop_
_atom_site_label
_atom_site_fract_x
_atom_site_fract_y
_atom_site_fract_z
_atom_site_occupancy
Nd1 0.3333 0.6667 0.2500 1
Nd2 0.6667 0.3333 0.7500 1
Co1 0.0000 0.0000 0.0000 1
Co2 0.0000 0.0000 0.5000 1
Ir1 0.3333 0.6667 0.7500 1
Ir2 0.6667 0.3333 0.2500 1
O1 0.0573 0.3686 0.6190 1
O2 0.0573 0.6888 0.8810 1
O3 0.3112 0.3686 0.8810 1
O4 0.3112 0.9427 0.6190 1
O5 0.3686 0.0573 0.1190 1
O6 0.3686 0.3112 0.3810 1
O7 0.6314 0.6888 0.6190 1
O8 0.6314 0.9427 0.8810 1
O9 0.6888 0.0573 0.3810 1
O10 0.6888 0.6314 0.1190 1
O11 0.9427 0.3112 0.1190 1
O12 0.9427 0.6314 0.3810 1
```